DFT (GGA+U) results for a geometry-optimized Li7Mn2Co3O12 structure.

Volume ... 8.88 Å³ per atom
Total magnetic moment ... 13.995 μB per cell
Uncorrected energy ... -140.81 eV for the cell shown

abc: 5.1830 5.7274 7.6982
angles: 78.66 72.44 89.84
Space group P1 (No. 1)
Inequivalent atoms, fractional coordinates:
Li  0.0000  0.0000  0.0000 (multiplicity 1)
Li  0.0007  0.4907  0.0030 (multiplicity 1)
Li  0.3582  0.3337  0.6611 (multiplicity 1)
Li  0.3677  0.8354  0.6556 (multiplicity 1)
Li  0.5206  0.2507  0.9881 (multiplicity 1)
Li  0.6780  0.1700  0.3071 (multiplicity 1)
Li  0.6928  0.6641  0.3107 (multiplicity 1)
Mn  0.8576  0.5851  0.6567 (multiplicity 1)
Mn  0.8600  0.0869  0.6554 (multiplicity 1)
Co  0.1945  0.4200  0.3111 (multiplicity 1)
Co  0.1962  0.9261  0.3053 (multiplicity 1)
Co  0.5263  0.7477  0.9875 (multiplicity 1)
O  0.0895  0.2046  0.1717 (multiplicity 1)
O  0.1080  0.6973  0.1583 (multiplicity 1)
O  0.2316  0.6266  0.4829 (multiplicity 1)
O  0.2428  0.1391  0.4830 (multiplicity 1)
O  0.4917  0.5571  0.8139 (multiplicity 1)
O  0.4936  0.0318  0.8142 (multiplicity 1)
O  0.5776  0.9407  0.1541 (multiplicity 1)
O  0.5813  0.4714  0.1519 (multiplicity 1)
O  0.7723  0.3748  0.5102 (multiplicity 1)
O  0.7860  0.8758  0.5019 (multiplicity 1)
O  0.9477  0.2971  0.8007 (multiplicity 1)
O  0.9564  0.7994  0.7964 (multiplicity 1)